Computed, not measured: an optimized crystal structure of NaCoAsO at the PBE with a Hubbard U level of DFT.

CIF file:
```
data_NaCoAsO
_chemical_formula_sum 'Na2 Co2 As2 O2'
_cell_length_a 3.451
_cell_length_b 6.899
_cell_length_c 5.365
_cell_angle_alpha 90.00
_cell_angle_beta 90.00
_cell_angle_gamma 90.00
_space_group_name_H-M_alt 'P m c 21'
_space_group_IT_number 26
loop_
_space_group_symop_operation_xyz
'x,y,z'
'-x,-y,z+1/2'
'-x,y,z'
'x,-y,z+1/2'
loop_
_atom_site_label
_atom_site_fract_x
_atom_site_fract_y
_atom_site_fract_z
Na1 0.000 0.142 0.000
Co1 0.500 0.192 0.504
As1 0.000 0.436 0.513
O1 0.500 0.005 0.248
```

Output
- Final energy: -4.5799 eV per atom
- Magnetization: 0.57 μB/atom